A plane-wave DFT calculation with PBE-GGA was carried out for an optimized crystal structure of Pr2YHg.

Unit cell a=3.7585 b=3.7585 c=9.0101 alpha=90.00 beta=90.00 gamma=90.00
Last column: nearest neighbours and their distance in Å.
Space group P4/mmm (No. 123)
Inequivalent atoms, fractional coordinates:
1 Pr 0.0000 0.0000 0.2234 (multiplicity 2)  4 Hg 3.33, 4 Y 3.64
2 Y 0.5000 0.5000 0.5000 (multiplicity 1)  8 Pr 3.64, 4 Y 3.76
3 Hg 0.5000 0.5000 0.0000 (multiplicity 1)  8 Pr 3.33

Properties
D(E_F)	5.03	states/eV/cell
total magnetization	0.00	μB per cell
ΔE to the lowest computed polymorph	0.026	eV/atom
theoretical density	7.45	g/cm³